[1]
A relaxed structure of LiSn2P3O12. Source: Alexandria, functional PBEsol.

Cell: 8.7024 8.7542 12.1772 Å, 90.00 90.00 90.00°
Fractional coordinates of all 72 atoms:
O  0.0971  0.7352  0.8232
P  0.8581  0.3892  0.6479
O  0.0927  0.5823  0.0295
O  0.4029  0.2352  0.8232
O  0.9059  0.3356  0.9240
Li  0.4662  0.7198  0.8225
P  0.1419  0.6108  0.1479
O  0.2933  0.8591  0.4216
Sn  0.5036  0.5268  0.6156
P  0.7096  0.7509  0.0000
O  0.7067  0.1409  0.9216
O  0.5698  0.0097  0.7235
O  0.9073  0.4177  0.5295
P  0.6503  0.6040  0.3530
P  0.3581  0.1108  0.1479
O  0.5941  0.8356  0.9240
P  0.8497  0.1040  0.3530
O  0.7933  0.6409  0.9216
O  0.0807  0.0174  0.7745
Sn  0.5057  0.0451  0.8818
O  0.0854  0.7726  0.1846
P  0.6419  0.8892  0.6479
O  0.5807  0.4826  0.2745
O  0.4193  0.5174  0.7745
P  0.7904  0.2509  0.0000
O  0.5927  0.9177  0.5295
Sn  0.9964  0.0268  0.6156
O  0.9029  0.2648  0.3232
O  0.1060  0.9481  0.9682
O  0.4073  0.0823  0.0295
O  0.3154  0.6395  0.5600
P  0.3497  0.3960  0.8530
O  0.4059  0.1644  0.4240
O  0.1846  0.1395  0.5600
O  0.3275  0.8962  0.8412
P  0.2904  0.2491  0.5000
O  0.4302  0.9903  0.2235
P  0.1503  0.8960  0.8530
P  0.2096  0.7491  0.5000
O  0.3180  0.6087  0.1595
O  0.2067  0.3591  0.4216
O  0.1725  0.3962  0.8412
O  0.8841  0.1647  0.0863
O  0.3940  0.4481  0.9682
O  0.0698  0.4903  0.2235
O  0.8275  0.6038  0.3412
O  0.6060  0.5519  0.4682
O  0.6159  0.6647  0.0863
O  0.3841  0.3353  0.5863
O  0.1159  0.8353  0.5863
Sn  0.0036  0.9732  0.1156
O  0.6820  0.3913  0.6595
O  0.5971  0.7648  0.3232
Li  0.9662  0.7802  0.3225
Sn  0.4943  0.9549  0.3818
O  0.8180  0.8913  0.6595
O  0.6725  0.1038  0.3412
O  0.9302  0.5097  0.7235
Sn  0.4964  0.4732  0.1156
Li  0.0338  0.2198  0.8225
O  0.8154  0.8605  0.0600
Sn  0.0057  0.4549  0.3818
O  0.8940  0.0519  0.4682
O  0.9146  0.2274  0.6846
O  0.6846  0.3605  0.0600
O  0.1820  0.1087  0.1595
O  0.4146  0.2726  0.1846
Sn  0.9943  0.5451  0.8818
O  0.9193  0.9826  0.2745
O  0.5854  0.7274  0.6846
Li  0.5338  0.2802  0.3225
O  0.0941  0.6644  0.4240

Total magnetic moment = 0.00 μB per cell
Space group = Pna2_1, No. 33


[2]
A relaxed structure of Li4SnP6O18. Source: Alexandria, functional PBEsol.

Cell: 7.2781 7.3668 7.4392 Å, 112.80 106.47 98.44°
Fractional coordinates of all 29 atoms:
O  0.9247  0.4872  0.6600
O  0.7366  0.7766  0.2784
O  0.4446  0.6897  0.4860
O  0.3629  0.6309  0.7757
O  0.2096  0.8976  0.4373
Li  0.1546  0.7154  0.8908
O  0.7206  0.8207  0.8421
P  0.4871  0.2310  0.2591
Li  0.8566  0.6242  0.4408
P  0.7585  0.3542  0.6764
P  0.5001  0.7724  0.7367
O  0.6092  0.3738  0.2106
P  0.7595  0.9970  0.3349
O  0.5520  0.0208  0.2082
O  0.4475  0.9894  0.7964
O  0.2429  0.6324  0.1185
O  0.7736  0.1187  0.5749
O  0.2557  0.2334  0.7443
P  0.2322  0.0110  0.6820
O  0.7359  0.4017  0.8802
O  0.0729  0.8836  0.7120
Li  0.5324  0.4949  0.0050
O  0.9293  0.1224  0.3121
Li  0.1437  0.3714  0.5746
O  0.2636  0.1616  0.1617
P  0.2300  0.6698  0.3246
Sn  0.9460  0.1742  0.0325
O  0.5455  0.3270  0.5100
O  0.0723  0.5171  0.3340

Total magnetic moment = 0.00 μB per cell
Space group = P1, No. 1


[3]
A relaxed structure of Li3Sn2P5O16. Source: Alexandria, functional PBEsol.

Cell: 5.1932 7.4332 18.1525 Å, 90.00 95.11 90.00°
Fractional coordinates of all 52 atoms:
P  0.0000  0.2394  0.2500
Sn  0.2511  0.1320  0.0784
O  0.4341  0.4137  0.1084
O  0.5659  0.4137  0.3916
O  0.3913  0.0007  0.8541
O  0.8189  0.3731  0.2016
O  0.8940  0.5533  0.5674
P  0.6962  0.1602  0.6000
Li  0.5000  0.9741  0.7500
P  0.2886  0.5310  0.8733
Sn  0.2511  0.8680  0.5784
O  0.1755  0.8654  0.7043
O  0.1755  0.1346  0.2043
O  0.5659  0.5863  0.8916
O  0.6087  0.0007  0.6459
P  0.7114  0.5310  0.6267
P  0.6962  0.8398  0.1000
P  0.7114  0.4690  0.1267
Sn  0.7489  0.8680  0.9216
Li  0.1844  0.3712  0.5426
P  0.3038  0.8398  0.4000
O  0.7088  0.6705  0.1579
O  0.9676  0.8531  0.0752
O  0.5104  0.7962  0.4630
O  0.8245  0.8654  0.7957
O  0.1060  0.4467  0.4326
O  0.1811  0.3731  0.2984
Li  0.8156  0.6288  0.4574
P  0.3038  0.1602  0.9000
O  0.2912  0.6705  0.3421
Li  0.1844  0.6288  0.0426
P  0.0000  0.7606  0.7500
O  0.1060  0.5533  0.9326
Li  0.5000  0.0259  0.2500
Sn  0.7489  0.1320  0.4216
O  0.4896  0.7962  0.0370
P  0.2886  0.4690  0.3733
O  0.8940  0.4467  0.0674
O  0.1811  0.6269  0.7984
O  0.0324  0.1469  0.9248
O  0.9676  0.1469  0.5752
O  0.3913  0.9993  0.3541
O  0.4341  0.5863  0.6084
O  0.0324  0.8531  0.4248
Li  0.8156  0.3712  0.9574
O  0.4896  0.2038  0.5370
O  0.8245  0.1346  0.2957
O  0.8189  0.6269  0.7016
O  0.6087  0.9993  0.1459
O  0.5104  0.2038  0.9630
O  0.7088  0.3295  0.6579
O  0.2912  0.3295  0.8421

Total magnetic moment = 0.00 μB per cell
Space group = P2/c, No. 13


| no. | ρ (g/cm³) | D(E_F) (states/eV/cell) | raw formation energy (eV/atom) |
| --- | --- | --- | --- |
| 1 | 3.79 | 0.00 | -2.0801 |
| 2 | 3.05 | 0.00 | -2.1757 |
| 3 | 3.18 | 0.00 | -2.1124 |